Crystalline NdMg16Al12 at its relaxed geometry. Source: the Alexandria database, functional PBEsol.

calculated formation energy	-0.07	eV per atom
E above lowest polymorph	0.0	meV per atom
symmetry	I-43m (217)

abc: 9.091 9.091 9.091
angles: 109.47 109.47 109.47
Fractional coordinates of all 29 atoms:
Nd: 0.000 0.000 0.000
Mg: 0.000 0.000 0.639
Mg: 0.000 0.398 0.680
Mg: 0.000 0.639 0.000
Mg: 0.000 0.680 0.398
Mg: 0.283 0.602 0.602
Mg: 0.320 0.320 0.717
Mg: 0.320 0.717 0.320
Mg: 0.361 0.361 0.361
Mg: 0.398 0.000 0.680
Mg: 0.398 0.680 0.000
Mg: 0.602 0.283 0.602
Mg: 0.602 0.602 0.283
Mg: 0.639 0.000 0.000
Mg: 0.680 0.000 0.398
Mg: 0.680 0.398 0.000
Mg: 0.717 0.320 0.320
Al: 0.000 0.187 0.370
Al: 0.000 0.370 0.187
Al: 0.182 0.813 0.813
Al: 0.187 0.000 0.370
Al: 0.187 0.370 0.000
Al: 0.370 0.000 0.187
Al: 0.370 0.187 0.000
Al: 0.630 0.630 0.818
Al: 0.630 0.818 0.630
Al: 0.813 0.182 0.813
Al: 0.813 0.813 0.182
Al: 0.818 0.630 0.630

---

Crystalline LaZr2Te at its relaxed geometry. Source: the Alexandria database, functional PBEsol.

raw formation energy	-0.231	eV per atom
symmetry	I-4m2 (119)

abc: 5.745 5.745 5.745
angles: 133.84 133.84 67.34
Fractional coordinates of all 4 atoms:
La: 0.000 0.000 0.000
Zr: 0.250 0.750 0.500
Zr: 0.500 0.500 0.000
Te: 0.750 0.250 0.500

---

Crystalline HfZn3Re at its relaxed geometry. Source: the Alexandria database, functional PBEsol.

calculated formation energy	2.15	eV per atom
E above lowest polymorph	1145.8	meV per atom
symmetry	Pm-3m (221)

abc: 4.850 4.850 4.850
angles: 90.00 90.00 90.00
Fractional coordinates of all 5 atoms:
Hf: 0.000 0.000 0.000
Zn: 0.000 0.000 0.500
Zn: 0.000 0.500 0.000
Zn: 0.500 0.000 0.000
Re: 0.500 0.500 0.500

---

Crystalline Li2TlGe2 at its relaxed geometry. Source: the Alexandria database, functional PBEsol.

calculated formation energy	-0.07	eV per atom
E above lowest polymorph	117.2	meV per atom
symmetry	I4/mmm (139)

abc: 6.489 6.489 6.489
angles: 143.22 143.22 52.99
Fractional coordinates of all 5 atoms:
Li: 0.250 0.750 0.500
Li: 0.750 0.250 0.500
Tl: 0.000 0.000 0.000
Ge: 0.397 0.397 0.000
Ge: 0.603 0.603 0.000

---

Crystalline AgSbOsI2 at its relaxed geometry. Source: the Alexandria database, functional PBEsol.

raw formation energy	1.729	eV per atom
symmetry	P4/mmm (123)

abc: 5.357 5.357 5.375
angles: 90.00 90.00 90.00
Fractional coordinates of all 5 atoms:
Ag: 0.000 0.000 0.000
Sb: 0.000 0.000 0.500
Os: 0.500 0.500 0.500
I: 0.000 0.500 0.000
I: 0.500 0.000 0.000

---

Crystalline RhPb2Br at its relaxed geometry. Source: the Alexandria database, functional PBEsol.

raw formation energy	0.095	eV per atom
E above lowest polymorph	225.5	meV per atom
symmetry	R3m (160)

abc: 9.141 9.141 9.141
angles: 22.11 22.11 22.11
Fractional coordinates of all 4 atoms:
Rh: 0.000 0.000 0.000
Pb: 0.506 0.506 0.506
Pb: 0.734 0.734 0.734
Br: 0.266 0.266 0.266

---

Crystalline Hf3Nb2Ge4 at its relaxed geometry. Source: the Alexandria database, functional PBEsol.

calculated formation energy	-0.73	eV per atom
symmetry	Pnma (62)

abc: 6.824 13.177 6.942
angles: 90.00 90.00 90.00
Fractional coordinates of all 36 atoms:
Hf: 0.012 0.093 0.174
Hf: 0.012 0.407 0.174
Hf: 0.169 0.250 0.506
Hf: 0.331 0.750 0.006
Hf: 0.488 0.593 0.674
Hf: 0.488 0.907 0.674
Hf: 0.512 0.093 0.326
Hf: 0.512 0.407 0.326
Hf: 0.669 0.250 0.994
Hf: 0.831 0.750 0.494
Hf: 0.988 0.593 0.826
Hf: 0.988 0.907 0.826
Nb: 0.157 0.623 0.329
Nb: 0.157 0.877 0.329
Nb: 0.343 0.123 0.829
Nb: 0.343 0.377 0.829
Nb: 0.657 0.623 0.171
Nb: 0.657 0.877 0.171
Nb: 0.843 0.123 0.671
Nb: 0.843 0.377 0.671
Ge: 0.045 0.250 0.886
Ge: 0.183 0.038 0.536
Ge: 0.183 0.462 0.536
Ge: 0.192 0.750 0.645
Ge: 0.308 0.250 0.145
Ge: 0.317 0.538 0.036
Ge: 0.317 0.962 0.036
Ge: 0.455 0.750 0.386
Ge: 0.545 0.250 0.614
Ge: 0.683 0.038 0.964
Ge: 0.683 0.462 0.964
Ge: 0.692 0.750 0.855
Ge: 0.808 0.250 0.355
Ge: 0.817 0.538 0.464
Ge: 0.817 0.962 0.464
Ge: 0.955 0.750 0.114

---

Crystalline Lu2Ga9Rh3 at its relaxed geometry. Source: the Alexandria database, functional PBEsol.

calculated formation energy	-0.72	eV per atom
symmetry	Cmcm (63)

abc: 7.396 7.396 9.318
angles: 90.00 90.00 60.25
Fractional coordinates of all 28 atoms:
Lu: 0.002 0.670 0.750
Lu: 0.330 0.998 0.750
Lu: 0.670 0.002 0.250
Lu: 0.998 0.330 0.250
Ga: 0.000 0.335 0.581
Ga: 0.000 0.335 0.919
Ga: 0.000 0.665 0.081
Ga: 0.000 0.665 0.419
Ga: 0.127 0.873 0.250
Ga: 0.332 0.668 0.568
Ga: 0.332 0.668 0.932
Ga: 0.335 0.000 0.081
Ga: 0.335 0.000 0.419
Ga: 0.339 0.451 0.250
Ga: 0.451 0.339 0.750
Ga: 0.549 0.661 0.250
Ga: 0.661 0.549 0.750
Ga: 0.665 0.000 0.581
Ga: 0.665 0.000 0.919
Ga: 0.668 0.332 0.068
Ga: 0.668 0.332 0.432
Ga: 0.873 0.127 0.750
Rh: 0.000 0.000 0.000
Rh: 0.000 0.000 0.500
Rh: 0.328 0.328 0.000
Rh: 0.328 0.328 0.500
Rh: 0.672 0.672 0.000
Rh: 0.672 0.672 0.500

---

Crystalline NiBi at its relaxed geometry. Source: the Alexandria database, functional PBEsol.

calculated formation energy	-0.05	eV per atom
symmetry	Cm (8)

abc: 8.128 8.128 12.713
angles: 118.58 118.58 60.01
Fractional coordinates of all 32 atoms:
Ni: 0.000 0.000 0.000
Ni: 0.129 0.129 0.245
Ni: 0.130 0.621 0.242
Ni: 0.145 0.145 0.616
Ni: 0.251 0.251 0.492
Ni: 0.252 0.750 0.494
Ni: 0.356 0.356 0.371
Ni: 0.368 0.368 0.737
Ni: 0.369 0.885 0.742
Ni: 0.495 0.495 0.976
Ni: 0.514 0.991 0.995
Ni: 0.621 0.130 0.242
Ni: 0.750 0.252 0.494
Ni: 0.885 0.369 0.742
Ni: 0.897 0.897 0.117
Ni: 0.991 0.514 0.995
Bi: 0.021 0.021 0.369
Bi: 0.229 0.229 0.115
Bi: 0.262 0.779 0.867
Bi: 0.264 0.719 0.124
Bi: 0.272 0.272 0.873
Bi: 0.483 0.483 0.624
Bi: 0.513 0.966 0.619
Bi: 0.539 0.539 0.371
Bi: 0.539 0.992 0.371
Bi: 0.717 0.717 0.120
Bi: 0.719 0.264 0.124
Bi: 0.773 0.773 0.864
Bi: 0.779 0.262 0.867
Bi: 0.964 0.964 0.620
Bi: 0.966 0.513 0.619
Bi: 0.992 0.539 0.371

---

Crystalline ScGaCu2Cl at its relaxed geometry. Source: the Alexandria database, functional PBEsol.

raw formation energy	0.482	eV per atom
symmetry	P4/mmm (123)

abc: 4.314 4.314 5.163
angles: 90.00 90.00 90.00
Fractional coordinates of all 5 atoms:
Sc: 0.000 0.000 0.000
Ga: 0.500 0.500 0.000
Cu: 0.000 0.500 0.500
Cu: 0.500 0.000 0.500
Cl: 0.500 0.500 0.500

---

Crystalline Li2MnNiP2O8 at its relaxed geometry. Source: the Alexandria database, functional PBEsol.

raw formation energy	-1.960	eV per atom
symmetry	P2_1/m (11)

abc: 4.688 5.958 10.138
angles: 90.00 90.20 90.00
Fractional coordinates of all 28 atoms:
Li: 0.000 0.000 0.000
Li: 0.000 0.500 0.000
Li: 0.500 0.000 0.500
Li: 0.500 0.500 0.500
Mn: 0.021 0.250 0.724
Mn: 0.979 0.750 0.276
Ni: 0.478 0.250 0.221
Ni: 0.522 0.750 0.779
P: 0.086 0.750 0.598
P: 0.422 0.750 0.088
P: 0.578 0.250 0.912
P: 0.914 0.250 0.402
O: 0.202 0.750 0.455
O: 0.228 0.544 0.668
O: 0.228 0.956 0.668
O: 0.242 0.250 0.397
O: 0.252 0.250 0.908
O: 0.286 0.543 0.160
O: 0.286 0.957 0.160
O: 0.294 0.750 0.946
O: 0.706 0.250 0.054
O: 0.714 0.043 0.840
O: 0.714 0.457 0.840
O: 0.748 0.750 0.092
O: 0.758 0.750 0.603
O: 0.772 0.044 0.332
O: 0.772 0.456 0.332
O: 0.798 0.250 0.545

---

Crystalline Cd2AgHg at its relaxed geometry. Source: the Alexandria database, functional PBEsol.

calculated formation energy	-0.02	eV per atom
symmetry	P4/mmm (123)

abc: 3.085 3.085 8.267
angles: 90.00 90.00 90.00
Fractional coordinates of all 4 atoms:
Cd: 0.000 0.000 0.234
Cd: 0.000 0.000 0.766
Ag: 0.500 0.500 0.000
Hg: 0.500 0.500 0.500

---

Final energy values, unit Ha/atom, following the record order: -0.1061, -0.2570, -0.1311, -0.1233, -0.1100, -0.1619, -0.3247, -0.1952, -0.1938, -0.1339, -0.2648, -0.0583.